[1]
Compound: KCoSeBr2
Source: Alexandria
Functional: PBE
Structure: relaxed

Properties
- Relative energy among the computed polymorphs: 0.000 eV per atom
- Uncorrected formation energy: -0.5636 eV/atom
- ρ: 4.15 g/cm³

abc: 5.4109 5.4109 4.5981
angles: 90.00 90.00 90.00
With the nearest neighbours (Å) after each atom.
Space group P4/mmm (No. 123)
Symmetry-distinct sites (fractional):
K (0.0000, 0.0000, 0.0000)  8 Br 3.55, 4 Se 3.83
Co (0.5000, 0.5000, 0.5000)  2 Se 2.30
Se (0.5000, 0.5000, 0.0000)  2 Co 2.30
Br (0.0000, 0.5000, 0.5000)  2 Co 2.71

***

[2]
Compound: K2TlCoBr6
Source: Alexandria
Functional: PBE
Structure: relaxed

Properties
- Uncorrected formation energy: -0.9592 eV/atom
- ρ: 4.21 g/cm³

abc: 7.5798 7.8536 13.1859
angles: 90.00 124.36 90.00
With the nearest neighbours (Å) after each atom.
Space group P2_1/c (No. 14)
Symmetry-distinct sites (fractional):
K (0.2235, 0.0733, 0.2451)  7 Br 3.35-3.66
Tl (0.5000, 0.0000, 0.0000)  6 Br 3.18-3.21
Co (0.0000, 0.0000, 0.5000)  6 Br 2.44-2.45
Br (0.1172, 0.2365, 0.9553)  1 Co 2.45
Br (0.2167, 0.6671, 0.9525)  1 Co 2.44
Br (0.3039, 0.0155, 0.7145)  1 Co 2.44

***

[3]
Compound: K3Tl3CoBr8
Source: Alexandria
Functional: PBE
Structure: relaxed

Properties
- Uncorrected formation energy: -1.0717 eV/atom
- ρ: 4.13 g/cm³

abc: 16.0629 9.3189 9.3435
angles: 90.00 124.75 90.00
With the nearest neighbours (Å) after each atom.
Space group C2/m (No. 12)
Symmetry-distinct sites (fractional):
K (0.0000, 0.0000, 0.0000)  6 Br 3.27-3.34
K (0.2500, 0.2500, 0.0000)  6 Br 3.27-3.35
Tl (0.0000, 0.5000, 0.5000)  6 Br 3.33-3.37
Tl (0.2500, 0.2500, 0.5000)  6 Br 3.33-3.37
Co (0.0000, 0.5000, 0.0000)  6 Br 2.66
Br (0.9996, 0.2971, 0.2004)  1 Co 2.66
Br (0.2017, 0.5000, 0.2007)  1 Co 2.66
Br (0.2476, 0.0000, 0.2427)  3 K 3.27, 3 Tl 3.33

***

[4]
Compound: KV2CoBr
Source: Alexandria
Functional: PBE
Structure: relaxed

Properties
- Uncorrected formation energy: 0.7134 eV/atom
- ρ: 3.77 g/cm³

abc: 4.5383 4.5383 5.9805
angles: 90.00 90.00 90.00
With the nearest neighbours (Å) after each atom.
Space group P4/mmm (No. 123)
Symmetry-distinct sites (fractional):
K (0.0000, 0.0000, 0.0000)  4 Br 3.21
V (0.0000, 0.5000, 0.5000)  2 Co 2.27
Co (0.5000, 0.5000, 0.5000)  4 V 2.27
Br (0.5000, 0.5000, 0.0000)  2 Co 2.99, 4 K 3.21

***

[5]
Compound: KVCoBr6
Source: Alexandria
Functional: PBE
Structure: relaxed

Properties
- Uncorrected formation energy: -0.8158 eV/atom
- ρ: 3.76 g/cm³

abc: 6.5595 6.5595 7.4554
angles: 90.00 90.00 120.00
With the nearest neighbours (Å) after each atom.
Space group P312 (No. 149)
Symmetry-distinct sites (fractional):
K (0.0000, 0.0000, 0.0000)  6 Br 3.34
V (0.6667, 0.3333, 0.5000)  6 Br 2.56
Co (0.3333, 0.6667, 0.5000)  6 Br 2.48
Br (0.0090, 0.3708, 0.6896)  1 Co 2.48, 1 V 2.56

***

[6]
Compound: KYCoBr6
Source: Alexandria
Functional: PBE
Structure: relaxed

Properties
- Uncorrected formation energy: -1.3007 eV/atom
- ρ: 3.50 g/cm³

abc: 7.0312 12.2153 7.3630
angles: 90.00 90.24 90.00
With the nearest neighbours (Å) after each atom.
Space group C2 (No. 5)
Symmetry-distinct sites (fractional):
K (0.0000, 0.0000, 0.0000)  6 Br 3.37
Y (0.0000, 0.6665, 0.5000)  6 Br 2.81-2.82
Co (0.0000, 0.3333, 0.5000)  6 Br 2.62-2.63
Br (0.1250, 0.4901, 0.7141)  1 Co 2.63, 1 Y 2.81
Br (0.1690, 0.1900, 0.7101)  1 Co 2.62, 1 Y 2.81
Br (0.2003, 0.8209, 0.7105)  1 Co 2.63, 1 Y 2.82